LiHoGaRu after structural relaxation. Source: Alexandria via LeMat-Bulk, functional PBE.

```
LiHoGaRu
1.0
4.590 0.000 0.000
2.295 3.975 0.000
2.295 1.325 3.748
Ru Ho Ga Li
1 1 1 1
Cartesian
6.885 3.975 2.811 Ru
4.590 2.650 1.874 Ho
0.000 0.000 0.000 Ga
2.295 1.325 0.937 Li
```

Computed properties:
**Calculated formation energy**: -331 meV per atom
**V**: 17.09 Å³/atom
**Magnetization**: 0.0 μB per cell

RhC2O after structural relaxation. Source: Alexandria via LeMat-Bulk, functional PBE.

```
RhC2O
1.0
4.540 0.000 0.000
0.000 4.540 0.000
2.270 2.270 4.052
C Rh O
4 2 2
Cartesian
3.296 1.135 1.013 C
1.244 3.405 1.013 C
3.405 3.515 3.039 C
5.676 5.566 3.039 C
0.000 0.000 0.000 Rh
4.540 2.270 2.026 Rh
2.270 2.270 0.000 O
2.270 4.540 2.026 O
```

Computed properties:
**V**: 10.44 Å³/atom
**Magnetization**: 0.0 μB per cell
**Formation energy without anion corrections**: 1.39 eV per atom